Entry 1:
HfZn5Cu6 | GGA-PBE | optimized geometry

Cell lengths 4.2971, 6.0101, 6.7070 Å; angles 90.00, 107.49, 90.00 degrees
Fractional coordinates of all 12 atoms:
Hf  0.0000  0.0000  0.0000
Zn  0.0000  0.5000  0.0000
Zn  0.3393  0.5000  0.6766
Zn  0.3398  0.0000  0.6724
Zn  0.6602  0.0000  0.3276
Zn  0.6607  0.5000  0.3234
Cu  0.1718  0.2592  0.3479
Cu  0.1718  0.7408  0.3479
Cu  0.5000  0.2641  0.0000
Cu  0.5000  0.7359  0.0000
Cu  0.8282  0.2592  0.6521
Cu  0.8282  0.7408  0.6521

Properties
Space-group type   P2/m, No. 10
Formation energy   -7 kJ per mole of atoms

---

Entry 2:
Nd6Ge2BiTe3 | GGA-PBE | optimized geometry

Cell lengths 9.9991, 9.9991, 9.0035 Å; angles 103.20, 103.20, 25.67 degrees
Fractional coordinates of all 12 atoms:
Nd  0.0103  0.0103  0.2552
Nd  0.3271  0.3271  0.4302
Nd  0.3307  0.3307  0.8925
Nd  0.6693  0.6693  0.1075
Nd  0.6729  0.6729  0.5698
Nd  0.9897  0.9897  0.7448
Ge  0.1682  0.1682  0.3356
Ge  0.8318  0.8318  0.6644
Bi  0.5000  0.5000  0.0000
Te  0.1631  0.1631  0.8336
Te  0.5000  0.5000  0.5000
Te  0.8369  0.8369  0.1664

Properties
Space-group type   C2/m, No. 12
Final energy   -65.87 eV per formula unit

---

Entry 3:
RbPt3Br | GGA-PBE | optimized geometry

Cell lengths 5.2384, 5.2384, 5.2384 Å; angles 90.00, 90.00, 90.00 degrees
Fractional coordinates of all 5 atoms:
Rb  0.0000  0.0000  0.0000
Pt  0.0000  0.0000  0.5000
Pt  0.0000  0.5000  0.0000
Pt  0.5000  0.0000  0.0000
Br  0.5000  0.5000  0.5000

Properties
Space-group type   Pm-3m, No. 221
Energy relative to the lowest polymorph listed for this composition   7.221 eV/f.u.

---

Entry 4:
Nd3Ga3Au2 | GGA-PBE | optimized geometry

Cell lengths 5.8996, 5.8996, 15.2248 Å; angles 90.00, 90.00, 134.77 degrees
Fractional coordinates of all 16 atoms:
Nd  0.0993  0.9007  0.6082
Nd  0.0993  0.9007  0.8918
Nd  0.3719  0.6281  0.7500
Nd  0.6281  0.3719  0.2500
Nd  0.9007  0.0993  0.1082
Nd  0.9007  0.0993  0.3918
Ga  0.3427  0.6573  0.2500
Ga  0.3914  0.6086  0.5370
Ga  0.3914  0.6086  0.9630
Ga  0.6086  0.3914  0.0370
Ga  0.6086  0.3914  0.4630
Ga  0.6573  0.3427  0.7500
Au  0.1959  0.8041  0.1034
Au  0.1959  0.8041  0.3966
Au  0.8041  0.1959  0.6034
Au  0.8041  0.1959  0.8966

Properties
Space-group type   Cmcm, No. 63
Formation energy   -70 kJ per mole of atoms

---

Entry 5:
Rb2CoMoAs | GGA-PBE | optimized geometry

Cell lengths 6.6675, 6.6675, 4.3628 Å; angles 90.00, 90.00, 90.00 degrees
Fractional coordinates of all 5 atoms:
Rb  0.0000  0.5000  0.0000
Rb  0.5000  0.0000  0.0000
Co  0.0000  0.0000  0.0000
Mo  0.5000  0.5000  0.5000
As  0.0000  0.0000  0.5000

Properties
Space-group type   P4/mmm, No. 123
Formation energy   108 kJ per mole of atoms

---

Entry 6:
Tc3OsS | GGA-PBE | optimized geometry

Cell lengths 4.2855, 4.2855, 4.2855 Å; angles 90.00, 90.00, 90.00 degrees
Fractional coordinates of all 5 atoms:
Tc  0.0000  0.0000  0.5000
Tc  0.0000  0.5000  0.0000
Tc  0.5000  0.0000  0.0000
Os  0.5000  0.5000  0.5000
S  0.0000  0.0000  0.0000

Properties
Space-group type   Pm-3m, No. 221
Energy relative to the lowest polymorph listed for this composition   0.000 eV/f.u.

---

Asked for N(E_F) across the records above, the calculation gives 0.223 0.209 1.910 0.688 1.171 1.732 states/eV per atom in order.